Computed, not measured: an optimized crystal structure of Ca6Ac at the PBE level of DFT.

Properties
Electronic total energy (eV/atom): -2.093
Energy above the most stable polymorph in this dataset (meV/atom): 0
Symmetry: P4/nbm
V (Å³/cell): 619.7

abc: 7.185 7.185 12.004
angles: 90.00 90.00 90.00
Sites, in units of the cell vectors:
Ca 0.500 0.500 0.146
Ca 0.000 0.000 0.146
Ca 0.000 0.000 0.854
Ca 0.500 0.500 0.854
Ca 0.826 0.674 0.362
Ca 0.326 0.826 0.362
Ca 0.674 0.174 0.362
Ca 0.174 0.326 0.362
Ca 0.674 0.826 0.638
Ca 0.174 0.674 0.638
Ca 0.826 0.326 0.638
Ca 0.326 0.174 0.638
Ac 0.500 0.000 0.000
Ac 0.000 0.500 0.000